Density functional theory data (PBE) for Ac2Sm12Y5 after structural relaxation.

Magnetization (μB/f.u.): 0.000
Calculated total energy (eV for the cell shown): -95.21
Offset from the most stable computed form (meV per atom): 0
Calculated density (g/cm³): 6.813
Space group: P-1 (2)
DFT formation energy (meV/atom): 103

Structure (POSCAR):
```
Ac2Sm12Y5
1.0
6.9433 0.0000 0.0000
3.0572 6.3296 0.0000
0.8831 2.6860 14.9901
Ac Sm Y
2 12 5
direct
0.0133 0.2312 0.0401
0.9867 0.7688 0.9599
0.0090 0.6125 0.3908
0.0560 0.1164 0.4177
0.2429 0.0681 0.8216
0.2540 0.4208 0.1904
0.2645 0.5830 0.7502
0.2817 0.8692 0.2530
0.7183 0.1308 0.7470
0.7355 0.4170 0.2498
0.7460 0.5792 0.8096
0.7571 0.9319 0.1784
0.9440 0.8836 0.5823
0.9910 0.3875 0.6092
0.4488 0.9188 0.6101
0.4957 0.7309 0.0384
0.5000 0.5000 0.5000
0.5043 0.2691 0.9616
0.5512 0.0812 0.3899
```